[1]
The following is a DFT calculation (PBE) of a geometry-optimized CaAlCuPt2 structure.

## Properties
- distance to the lowest polymorph of the same formula (meV/atom) = 2076
- energy (eV/atom) = -3.055
- E_form (eV per atom) = 1.33

POSCAR file:
```
CaAlCuPt2
1.0
4.985 0.000 0.000
0.000 4.985 0.000
0.000 0.000 5.314
Ca Al Cu Pt
1 1 1 2
direct
0.000 0.000 0.000
0.000 0.000 0.500
0.500 0.500 0.500
0.000 0.500 0.000
0.500 0.000 0.000
```



[2]
The following is a DFT calculation (PBE) of a geometry-optimized KBaIn2 structure.

## Properties
- distance to the lowest polymorph of the same formula (meV/atom) = 78
- energy (eV/atom) = -2.271
- E_form (eV per atom) = -0.15

POSCAR file:
```
KBaIn2
1.0
-2.761 2.761 4.640
2.761 -2.761 4.640
2.761 2.761 -4.640
K Ba In
1 1 2
direct
0.000 0.000 0.000
0.250 0.750 0.500
0.500 0.500 0.000
0.750 0.250 0.500
```



[3]
The following is a DFT calculation (PBE) of a geometry-optimized Sn2Sb2I structure.

## Properties
- distance to the lowest polymorph of the same formula (meV/atom) = 133
- energy (eV/atom) = -3.479

POSCAR file:
```
Sn2Sb2I
1.0
9.397 0.000 0.000
0.000 9.397 0.000
0.000 0.000 3.479
Sn Sb I
4 4 2
direct
0.161 0.339 0.000
0.339 0.839 0.000
0.661 0.161 0.000
0.839 0.661 0.000
0.125 0.625 0.500
0.375 0.125 0.500
0.625 0.875 0.500
0.875 0.375 0.500
0.000 0.000 0.000
0.500 0.500 0.000
```



[4]
The following is a DFT calculation (PBE) of a geometry-optimized Sb2TeICl structure.

## Properties
- distance to the lowest polymorph of the same formula (meV/atom) = 348
- energy (eV/atom) = -2.016

POSCAR file:
```
Sb2TeICl
1.0
5.911 0.000 0.000
0.000 5.911 0.000
0.000 0.000 5.743
Sb Te I Cl
2 1 1 1
direct
0.000 0.500 0.000
0.500 0.000 0.000
0.000 0.000 0.500
0.000 0.000 0.000
0.500 0.500 0.500
```



Among the records above, which one has the highest energy?
Sb2TeICl



Which of these has the lowest distance to the lowest polymorph of the same formula?
KBaIn2



Which formula does entry 4 have?
Sb2TeICl



Look up the distance to the lowest polymorph of the same formula of the first one.
2076 meV/atom